Below is CsVAg2F6 after structural relaxation, with properties calculated at the PBE+U level.

abc: 6.323 6.326 6.348
angles: 61.32 61.16 61.29
Space group P-1 (No. 2)
Unique sites:
Cs (0.000, 0.000, 0.000) (multiplicity 1)
V (0.500, 0.500, 0.500) (multiplicity 1)
Ag (0.283, 0.281, 0.281) (multiplicity 2)
F (0.156, 0.466, 0.648) (multiplicity 2)
F (0.349, 0.846, 0.531) (multiplicity 2)
F (0.466, 0.645, 0.157) (multiplicity 2)

Calculated values
The total energy is -4.645 eV/atom. As for the density of states at the Fermi level: 0.000 states/eV/atom.